1.
Crystalline LaPmNiRu at its relaxed geometry, computed with PBE.

Lattice parameters (Å, degrees): 4.0086 4.0895 5.9067 90.00 109.84 90.00
Positions (direct):
Ni1 0.5702 0.5000 0.1403
Pm1 0.1406 0.0000 0.2812
Ru1 0.4296 0.0000 0.8592
La1 0.8597 0.5000 0.7193

Distance to the lowest polymorph of the same formula = 0 meV/atom
Calculated volume = 22.77 A^3/atom
Symmetry = Amm2
Formation enthalpy at 0 K = -0.27 eV per atom

---

2.
Crystalline Dy2YMgHg4 at its relaxed geometry, computed with PBE.

Lattice parameters (Å, degrees): 5.1561 5.1561 9.0552 73.46 73.46 60.00
Positions (direct):
Dy1 0.7546 0.7546 0.7363
Dy2 0.2454 0.2454 0.2637
Hg1 0.1248 0.1248 0.6255
Hg2 0.8752 0.8752 0.3745
Hg3 0.3740 0.3740 0.8782
Hg4 0.6260 0.6260 0.1218
Mg1 0.5000 0.5000 0.5000
Y1 0.0000 0.0000 0.0000

Calculated volume = 24.61 A^3/atom
Symmetry = R-3m
Formation enthalpy at 0 K = -0.47 eV per atom

---

3.
Crystalline LaSbOs at its relaxed geometry, computed with PBE.

Lattice parameters (Å, degrees): 4.9493 4.9493 4.9493 60.00 60.00 60.00
Positions (direct):
Sb1 0.5000 0.5000 0.5000
La1 0.7500 0.7500 0.7500
Os1 0.0000 0.0000 0.0000

Formation energy without anion corrections = 0.8295 eV/atom
Calculated volume = 28.58 A^3/atom
Symmetry = F-43m